Entry 1:
Material: Zn2InPd3
Method: DFT, PBE-GGA
State: optimized geometry

Values from the calculation:
**Energy of formation**: -0.521 eV per atom
**Final energy**: -3.9982 eV per atom

Cell: 3.069 3.069 9.920 Å, 90.00 90.00 90.00°
Fractional coordinates of all 6 atoms:
Pd 0.000 0.000 0.000
Pd 0.000 0.000 0.312
Pd 0.000 0.000 0.688
Zn 0.500 0.500 0.845
Zn 0.500 0.500 0.155
In 0.500 0.500 0.500


Entry 2:
Material: Zn2InPd8
Method: DFT, PBE-GGA
State: optimized geometry

Values from the calculation:
**Energy of formation**: -0.390 eV per atom
**Final energy**: -4.6472 eV per atom

Cell: 4.066 6.251 7.293 Å, 106.24 106.19 90.00°
Fractional coordinates of all 11 atoms:
In 0.500 0.000 0.000
Pd 0.044 0.727 0.088
Pd 0.147 0.205 0.294
Pd 0.400 0.534 0.799
Pd 0.682 0.921 0.363
Pd 0.853 0.795 0.706
Pd 0.956 0.273 0.912
Pd 0.318 0.079 0.637
Pd 0.600 0.466 0.201
Zn 0.223 0.649 0.446
Zn 0.777 0.351 0.554


Entry 3:
Material: Zn2InPd5
Method: DFT, PBE-GGA
State: optimized geometry

Values from the calculation:
**Energy of formation**: -0.481 eV per atom
**Final energy**: -4.3869 eV per atom

Cell: 4.125 5.556 10.904 Å, 90.00 90.00 90.00°
Fractional coordinates of all 16 atoms:
Pd 0.500 0.291 0.118
Pd 0.000 0.431 0.756
Pd 0.000 0.069 0.256
Pd 0.000 0.000 0.000
Pd 0.500 0.791 0.382
Pd 0.500 0.209 0.618
Pd 0.000 0.500 0.500
Pd 0.000 0.931 0.744
Pd 0.000 0.569 0.244
Pd 0.500 0.709 0.882
Zn 0.500 0.317 0.361
Zn 0.500 0.683 0.639
Zn 0.500 0.183 0.861
Zn 0.500 0.817 0.139
In 0.000 0.000 0.500
In 0.000 0.500 0.000


Entry 4:
Material: ZnIn2Pd2
Method: DFT, PBE-GGA
State: optimized geometry

Values from the calculation:
**Energy of formation**: -0.038 eV per atom
**Final energy**: -3.4649 eV per atom

Cell: 4.084 4.084 6.916 Å, 72.83 72.83 90.00°
Fractional coordinates of all 5 atoms:
In 0.750 0.250 0.500
In 0.250 0.750 0.500
Pd 0.396 0.396 0.208
Pd 0.604 0.604 0.792
Zn 0.000 0.000 0.000


Entry 5:
Material: ZnIn3Pd12
Method: DFT, PBE-GGA
State: optimized geometry

Values from the calculation:
**Energy of formation**: -0.395 eV per atom
**Final energy**: -4.8823 eV per atom

Cell: 4.024 4.024 15.880 Å, 90.00 90.00 90.00°
Fractional coordinates of all 16 atoms:
Pd 0.500 0.000 0.882
Pd 0.500 0.000 0.628
Pd 0.500 0.000 0.372
Pd 0.500 0.500 0.500
Pd 0.500 0.000 0.118
Pd 0.500 0.500 0.755
Pd 0.000 0.500 0.118
Pd 0.000 0.500 0.882
Pd 0.500 0.500 0.000
Pd 0.500 0.500 0.245
Pd 0.000 0.500 0.372
Pd 0.000 0.500 0.628
In 0.000 0.000 0.755
In 0.000 0.000 0.245
In 0.000 0.000 0.500
Zn 0.000 0.000 0.000


Entry 6:
Material: ZnInPd5
Method: DFT, PBE-GGA
State: optimized geometry

Values from the calculation:
**Energy of formation**: -0.219 eV per atom
**Final energy**: -4.5009 eV per atom

Cell: 7.699 7.699 7.729 Å, 48.18 48.18 75.85°
Fractional coordinates of all 14 atoms:
Pd 0.166 0.834 0.750
Pd 0.679 0.892 0.025
Pd 0.892 0.679 0.525
Pd 0.321 0.108 0.975
Pd 0.449 0.795 0.901
Pd 0.834 0.166 0.250
Pd 0.551 0.205 0.099
Pd 0.205 0.551 0.599
Pd 0.108 0.321 0.475
Pd 0.795 0.449 0.401
In 0.440 0.560 0.750
In 0.560 0.440 0.250
Zn 0.000 0.000 0.500
Zn 0.000 0.000 0.000


Entry 7:
Material: Zn4InPd7
Method: DFT, PBE-GGA
State: optimized geometry

Values from the calculation:
**Energy of formation**: -0.240 eV per atom
**Final energy**: -3.9225 eV per atom

Cell: 4.849 7.994 6.033 Å, 77.94 66.30 72.34°
Fractional coordinates of all 12 atoms:
Pd 0.787 0.908 0.518
Pd 0.932 0.347 0.788
Pd 0.352 0.555 0.741
Pd 0.213 0.092 0.482
Pd 0.068 0.653 0.212
Pd 0.500 0.000 0.000
Pd 0.648 0.445 0.259
Zn 0.430 0.770 0.371
Zn 0.725 0.672 0.878
Zn 0.275 0.328 0.122
Zn 0.570 0.230 0.629
In 0.000 0.000 0.000


Entry 8:
Material: Zn11InPd
Method: DFT, PBE-GGA
State: optimized geometry

Values from the calculation:
**Energy of formation**: -0.054 eV per atom
**Final energy**: -1.7422 eV per atom

Cell: 5.334 6.729 7.084 Å, 80.49 67.89 63.97°
Fractional coordinates of all 13 atoms:
Zn 0.000 0.000 0.500
Zn 0.632 0.353 0.349
Zn 0.722 0.780 0.774
Zn 0.504 0.220 0.774
Zn 0.278 0.220 0.226
Zn 0.019 0.647 0.349
Zn 0.500 0.000 0.500
Zn 0.000 0.500 0.000
Zn 0.981 0.353 0.651
Zn 0.368 0.647 0.651
Zn 0.496 0.780 0.226
In 0.000 0.000 0.000
Pd 0.500 0.500 0.000


Entry 9:
Material: Zn2In2Pd3
Method: DFT, PBE-GGA
State: optimized geometry

Values from the calculation:
**Energy of formation**: -0.409 eV per atom
**Final energy**: -3.7810 eV per atom

Cell: 4.561 4.526 7.425 Å, 89.12 107.79 119.89°
Fractional coordinates of all 7 atoms:
In 0.772 0.381 0.165
In 0.228 0.619 0.835
Pd 0.511 0.263 0.753
Pd 0.489 0.737 0.247
Pd 0.000 0.000 0.000
Zn 0.250 0.115 0.389
Zn 0.750 0.885 0.611


Entry 10:
Material: ZnInPd2
Method: DFT, PBE-GGA
State: optimized geometry

Values from the calculation:
**Energy of formation**: -0.491 eV per atom
**Final energy**: -4.0903 eV per atom

Cell: 3.612 4.241 4.241 Å, 90.00 90.00 90.00°
Fractional coordinates of all 4 atoms:
Zn 0.500 0.000 0.000
Pd 0.000 0.000 0.500
Pd 0.000 0.500 0.000
In 0.500 0.500 0.500


Entry 11:
Material: ZnInPd14
Method: DFT, PBE-GGA
State: optimized geometry

Values from the calculation:
**Energy of formation**: -0.158 eV per atom
**Final energy**: -4.9522 eV per atom

Cell: 5.559 5.559 9.138 Å, 90.00 90.00 118.24°
Fractional coordinates of all 16 atoms:
Pd 0.202 0.300 0.000
Pd 0.874 0.126 0.752
Pd 0.870 0.623 0.254
Pd 0.377 0.130 0.746
Pd 0.374 0.626 0.251
Pd 0.870 0.623 0.746
Pd 0.051 0.448 0.500
Pd 0.201 0.799 0.000
Pd 0.374 0.626 0.749
Pd 0.701 0.299 0.000
Pd 0.874 0.126 0.248
Pd 0.552 0.949 0.500
Pd 0.700 0.798 0.000
Pd 0.377 0.130 0.254
Zn 0.551 0.449 0.500
In 0.050 0.950 0.500


Entry 12:
Material: ZnIn3Pd
Method: DFT, PBE-GGA
State: optimized geometry

Values from the calculation:
**Energy of formation**: 0.435 eV per atom
**Final energy**: -2.5016 eV per atom

Cell: 5.092 5.092 5.092 Å, 90.00 90.00 90.00°
Fractional coordinates of all 5 atoms:
In 0.500 0.000 0.000
In 0.000 0.500 0.000
In 0.000 0.000 0.500
Pd 0.500 0.500 0.500
Zn 0.000 0.000 0.000


> What is the energy of formation in the twelfth record?

0.435 eV per atom


> Among the records above, which one has the lowest final energy?

ZnInPd14


What did the sixth record say?
Material: ZnInPd5
Method: DFT, PBE-GGA
State: optimized geometry

Values from the calculation:
**Energy of formation**: -0.219 eV per atom
**Final energy**: -4.5009 eV per atom

Cell: 7.699 7.699 7.729 Å, 48.18 48.18 75.85°
Fractional coordinates of all 14 atoms:
Pd 0.166 0.834 0.750
Pd 0.679 0.892 0.025
Pd 0.892 0.679 0.525
Pd 0.321 0.108 0.975
Pd 0.449 0.795 0.901
Pd 0.834 0.166 0.250
Pd 0.551 0.205 0.099
Pd 0.205 0.551 0.599
Pd 0.108 0.321 0.475
Pd 0.795 0.449 0.401
In 0.440 0.560 0.750
In 0.560 0.440 0.250
Zn 0.000 0.000 0.500
Zn 0.000 0.000 0.000


> Which of these has the lowest energy of formation?

Zn2InPd3